Tb5Er4Tm3 | PBE | relaxed

Unit cell a=7.036 b=11.112 c=12.674 alpha=151.29 beta=56.36 gamma=129.25
Atoms (fractional coordinates):
Tb (0.334, 0.667, 0.832)
Tb (0.500, 0.000, 0.500)
Tb (0.750, 0.500, 0.000)
Tb (0.250, 0.500, 0.000)
Tb (0.666, 0.333, 0.168)
Er (0.916, 0.832, 0.666)
Er (0.834, 0.668, 0.834)
Er (0.166, 0.332, 0.166)
Er (0.084, 0.168, 0.334)
Tm (0.584, 0.167, 0.333)
Tm (0.000, 0.000, 0.500)
Tm (0.416, 0.833, 0.667)

Values from the calculation:
- DOS at the Fermi energy: 15.37 states/eV/cell
- Size of the total moment: 0.000 μB/atom
- ΔE to the lowest computed polymorph: 0.0000 eV/atom
- Calculated formation energy: 20 meV/atom



TbEr2Tm2 | PBE | relaxed

Unit cell a=4.954 b=6.064 c=11.073 alpha=89.98 beta=90.08 gamma=114.11
Atoms (fractional coordinates):
Tb (0.750, 0.500, 0.250)
Tb (0.250, 0.500, 0.750)
Er (0.350, 0.701, 0.450)
Er (0.450, 0.899, 0.150)
Er (0.650, 0.299, 0.550)
Er (0.550, 0.101, 0.850)
Tm (0.949, 0.899, 0.650)
Tm (0.150, 0.299, 0.050)
Tm (0.051, 0.101, 0.350)
Tm (0.850, 0.701, 0.950)

Values from the calculation:
- DOS at the Fermi energy: 14.08 states/eV/cell
- Size of the total moment: 0.000 μB/atom
- ΔE to the lowest computed polymorph: 0.0000 eV/atom
- Calculated formation energy: 24 meV/atom



TbEr7Tm2 | PBE | relaxed

Unit cell a=5.352 b=8.759 c=9.321 alpha=117.97 beta=73.32 gamma=127.72
Atoms (fractional coordinates):
Tb (0.000, 0.000, 0.000)
Er (0.000, 0.800, 0.600)
Er (0.000, 0.200, 0.400)
Er (0.249, 0.639, 0.780)
Er (0.751, 0.361, 0.220)
Er (0.249, 0.860, 0.220)
Er (0.751, 0.140, 0.780)
Er (0.500, 0.500, 0.000)
Tm (0.500, 0.700, 0.399)
Tm (0.500, 0.300, 0.601)

Values from the calculation:
- DOS at the Fermi energy: 17.45 states/eV/cell
- Size of the total moment: 0.000 μB/atom
- ΔE to the lowest computed polymorph: 0.0000 eV/atom
- Calculated formation energy: 51 meV/atom



Tb4Er5Tm | PBE | relaxed

Unit cell a=3.488 b=10.872 c=8.673 alpha=89.99 beta=101.54 gamma=90.00
Atoms (fractional coordinates):
Tb (0.653, 0.250, 0.307)
Tb (0.972, 0.250, 0.944)
Tb (0.347, 0.750, 0.693)
Tb (0.028, 0.750, 0.056)
Er (0.174, 0.553, 0.347)
Er (0.173, 0.947, 0.347)
Er (0.827, 0.053, 0.653)
Er (0.500, 0.500, 0.000)
Er (0.826, 0.447, 0.653)
Tm (0.500, 0.000, 0.000)

Values from the calculation:
- DOS at the Fermi energy: 12.84 states/eV/cell
- Size of the total moment: 0.000 μB/atom
- ΔE to the lowest computed polymorph: 0.0000 eV/atom
- Calculated formation energy: 188 meV/atom